Here is crystalline Rb2SrHgAu at its relaxed geometry from the Alexandria database. Energies are from PBE.

Calculated values
The calculation puts the formation energy at 94 meV per atom.

Lattice parameters (Å, degrees): 6.551 6.341 6.551 90.00 90.00 90.00
Fractional positions:
Rb 0.500 0.000 0.000
Rb 0.000 0.000 0.500
Hg 0.000 0.000 0.000
Sr 0.000 0.500 0.000
Au 0.500 0.500 0.500